[1]
A plane-wave DFT calculation with GGA-PBEsol was carried out for Dy5BiPd2 after structural relaxation.

Output
volume	25.0	A^3/atom
formation energy	-0.701	eV/atom
M_tot	0.00	μB per formula unit

```
data_Dy5BiPd2
_chemical_formula_sum 'Dy20 Bi4 Pd8'
_space_group_name_H-M_alt 'I 4/m c m'
_space_group_IT_number 140
_space_group_name_Hall '-I 4 2c'
_cell_length_a 7.7209
_cell_length_b 7.7209
_cell_length_c 13.4308
_cell_angle_alpha 90.00
_cell_angle_beta 90.00
_cell_angle_gamma 90.00
loop_
_atom_site_label
_atom_site_type_symbol
_atom_site_fract_x
_atom_site_fract_y
_atom_site_fract_z
Dy1 Dy 0.0000 0.0000 0.0000
Dy2 Dy 0.1552 0.3448 0.1400
Bi1 Bi 0.0000 0.0000 0.2500
Pd1 Pd 0.1355 0.3645 0.5000
```

---

[2]
A plane-wave DFT calculation with GGA-PBEsol was carried out for DyBiPt after structural relaxation.

Output
volume	24.4	A^3/atom
formation energy	-1.050	eV/atom
M_tot	0.00	μB per formula unit

```
data_DyBiPt
_chemical_formula_sum 'Dy4 Bi4 Pt4'
_space_group_name_H-M_alt 'F -4 3 m'
_space_group_IT_number 216
_space_group_name_Hall 'F -4 2 3'
_cell_length_a 6.6379
_cell_length_b 6.6379
_cell_length_c 6.6379
_cell_angle_alpha 90.00
_cell_angle_beta 90.00
_cell_angle_gamma 90.00
loop_
_atom_site_label
_atom_site_type_symbol
_atom_site_fract_x
_atom_site_fract_y
_atom_site_fract_z
Dy1 Dy 0.0000 0.0000 0.0000
Bi1 Bi 0.0000 0.0000 0.5000
Pt1 Pt 0.2500 0.2500 0.7500
```

---

[3]
A plane-wave DFT calculation with GGA-PBEsol was carried out for Dy5BiPt2 after structural relaxation.

Output
volume	25.1	A^3/atom
formation energy	-0.921	eV/atom
M_tot	0.00	μB per formula unit

```
data_Dy5BiPt2
_chemical_formula_sum 'Dy20 Bi4 Pt8'
_space_group_name_H-M_alt 'I 4/m c m'
_space_group_IT_number 140
_space_group_name_Hall '-I 4 2c'
_cell_length_a 7.7271
_cell_length_b 7.7271
_cell_length_c 13.4449
_cell_angle_alpha 90.00
_cell_angle_beta 90.00
_cell_angle_gamma 90.00
loop_
_atom_site_label
_atom_site_type_symbol
_atom_site_fract_x
_atom_site_fract_y
_atom_site_fract_z
Dy1 Dy 0.0000 0.0000 0.0000
Dy2 Dy 0.1567 0.3433 0.1363
Bi1 Bi 0.0000 0.0000 0.2500
Pt1 Pt 0.1373 0.3627 0.5000
```

---

The lowest formation energy belongs to which entry? DyBiPt

---

Among the records above, which one has the highest volume? Dy5BiPt2

---

Which formula does entry 2 have? DyBiPt

---

Which of these has the highest volume? Dy5BiPt2